Computed, not measured: a relaxed CaMg9Zn2 crystal at the PBE level of DFT.

Output
* ΔE_f: -0.0660 eV/atom
* total DFT energy (no corrections): -19.693 eV per formula unit
* theoretical density: 2.36 Mg/m³
* symmetry: I4_1/amd, No. 141
* energy relative to the lowest polymorph listed for this composition: 0.0 kJ per mole of atoms

Unit cell a=9.2969 b=9.2969 c=9.2969 alpha=99.71 beta=99.71 gamma=131.50
Closest atoms and distances in Å follow each position.
Element x y z (fractional)
Ca: 0.3750 0.6250 0.7500  18 Mg 3.67-3.92
Ca: 0.6250 0.3750 0.2500  18 Mg 3.67-3.92
Mg: 0.1250 0.8750 0.2500  4 Zn 3.15, 8 Mg 3.16
Mg: 0.1343 0.5624 0.3262  2 Zn 2.87-2.88, 8 Mg 2.95-3.20
Mg: 0.1343 0.8082 0.5719  2 Zn 2.87-2.88, 8 Mg 2.95-3.20
Mg: 0.1918 0.2637 0.3262  2 Zn 2.87-2.88, 8 Mg 2.95-3.20
Mg: 0.1918 0.8657 0.9281  2 Zn 2.87-2.88, 8 Mg 2.95-3.20
Mg: 0.2637 0.1918 0.8262  2 Zn 2.87-2.88, 8 Mg 2.95-3.20
Mg: 0.2637 0.4376 0.0719  2 Zn 2.87-2.88, 8 Mg 2.95-3.20
Mg: 0.4376 0.2637 0.5719  2 Zn 2.87-2.88, 8 Mg 2.95-3.20
Mg: 0.4376 0.8657 0.1738  2 Zn 2.87-2.88, 8 Mg 2.95-3.20
Mg: 0.5624 0.1343 0.8262  2 Zn 2.87-2.88, 8 Mg 2.95-3.20
Mg: 0.5624 0.7363 0.4281  2 Zn 2.87-2.88, 8 Mg 2.95-3.20
Mg: 0.7363 0.5624 0.9281  2 Zn 2.87-2.88, 8 Mg 2.95-3.20
Mg: 0.7363 0.8082 0.1738  2 Zn 2.87-2.88, 8 Mg 2.95-3.20
Mg: 0.8082 0.1343 0.0719  2 Zn 2.87-2.88, 8 Mg 2.95-3.20
Mg: 0.8082 0.7363 0.6738  2 Zn 2.87-2.88, 8 Mg 2.95-3.20
Mg: 0.8657 0.1918 0.4281  2 Zn 2.87-2.88, 8 Mg 2.95-3.20
Mg: 0.8657 0.4376 0.6738  2 Zn 2.87-2.88, 8 Mg 2.95-3.20
Mg: 0.8750 0.1250 0.7500  4 Zn 3.15, 8 Mg 3.16
Zn: 0.0000 0.0000 0.0000  10 Mg 2.87-3.15
Zn: 0.0000 0.0000 0.5000  10 Mg 2.87-3.15
Zn: 0.0000 0.5000 0.0000  10 Mg 2.87-3.15
Zn: 0.5000 0.0000 0.5000  10 Mg 2.87-3.15

=====

Computed, not measured: a relaxed BeCuRh2 crystal at the PBE level of DFT.

Output
* ΔE_f: 0.0490 eV/atom
* total DFT energy (no corrections): -22.329 eV per formula unit
* theoretical density: 9.05 Mg/m³
* symmetry: F-43m, No. 216

Unit cell a=5.8901 b=5.8901 c=5.8901 alpha=90.00 beta=90.00 gamma=90.00
Closest atoms and distances in Å follow each position.
Element x y z (fractional)
Be: 0.0000 0.0000 0.0000  4 Cu 2.55, 4 Rh 2.55
Be: 0.0000 0.5000 0.5000  4 Cu 2.55, 4 Rh 2.55
Be: 0.5000 0.0000 0.5000  4 Cu 2.55, 4 Rh 2.55
Be: 0.5000 0.5000 0.0000  4 Cu 2.55, 4 Rh 2.55
Cu: 0.2500 0.2500 0.2500  4 Be 2.55, 4 Rh 2.55
Cu: 0.2500 0.7500 0.7500  4 Be 2.55, 4 Rh 2.55
Cu: 0.7500 0.2500 0.7500  4 Be 2.55, 4 Rh 2.55
Cu: 0.7500 0.7500 0.2500  4 Be 2.55, 4 Rh 2.55
Rh: 0.0000 0.0000 0.5000  4 Cu 2.55, 4 Rh 2.55
Rh: 0.0000 0.5000 0.0000  4 Cu 2.55, 4 Rh 2.55
Rh: 0.2500 0.2500 0.7500  4 Be 2.55, 4 Rh 2.55
Rh: 0.2500 0.7500 0.2500  4 Be 2.55, 4 Rh 2.55
Rh: 0.5000 0.0000 0.0000  4 Cu 2.55, 4 Rh 2.55
Rh: 0.5000 0.5000 0.5000  4 Cu 2.55, 4 Rh 2.55
Rh: 0.7500 0.2500 0.2500  4 Be 2.55, 4 Rh 2.55
Rh: 0.7500 0.7500 0.7500  4 Be 2.55, 4 Rh 2.55

=====

Computed, not measured: a relaxed Al2SeCl crystal at the PBE level of DFT.

Output
* total DFT energy (no corrections): -13.829 eV per formula unit
* theoretical density: 3.01 Mg/m³
* symmetry: C2/m, No. 12
* energy relative to the lowest polymorph listed for this composition: 36.8 kJ per mole of atoms

Unit cell a=6.8257 b=3.9432 c=7.1946 alpha=90.00 beta=106.08 gamma=90.00
Closest atoms and distances in Å follow each position.
Element x y z (fractional)
Al: 0.2321 0.0000 0.2294  3 Se 2.77-2.78, 3 Cl 2.83-3.01
Al: 0.2679 0.5000 0.7706  3 Se 2.77-2.78, 3 Cl 2.83-3.01
Al: 0.7321 0.5000 0.2294  3 Se 2.77-2.78, 3 Cl 2.83-3.01
Al: 0.7679 0.0000 0.7706  3 Se 2.77-2.78, 3 Cl 2.83-3.01
Se: 0.0000 0.5000 0.0000  6 Al 2.77-2.78
Se: 0.5000 0.0000 0.0000  6 Al 2.77-2.78
Cl: 0.0000 0.0000 0.5000  6 Al 2.83-3.01
Cl: 0.5000 0.5000 0.5000  6 Al 2.83-3.01

=====

Please write out number 2 again, unchanged.
Computed, not measured: a relaxed BeCuRh2 crystal at the PBE level of DFT.

Output
* ΔE_f: 0.0490 eV/atom
* total DFT energy (no corrections): -22.329 eV per formula unit
* theoretical density: 9.05 Mg/m³
* symmetry: F-43m, No. 216

Unit cell a=5.8901 b=5.8901 c=5.8901 alpha=90.00 beta=90.00 gamma=90.00
Closest atoms and distances in Å follow each position.
Element x y z (fractional)
Be: 0.0000 0.0000 0.0000  4 Cu 2.55, 4 Rh 2.55
Be: 0.0000 0.5000 0.5000  4 Cu 2.55, 4 Rh 2.55
Be: 0.5000 0.0000 0.5000  4 Cu 2.55, 4 Rh 2.55
Be: 0.5000 0.5000 0.0000  4 Cu 2.55, 4 Rh 2.55
Cu: 0.2500 0.2500 0.2500  4 Be 2.55, 4 Rh 2.55
Cu: 0.2500 0.7500 0.7500  4 Be 2.55, 4 Rh 2.55
Cu: 0.7500 0.2500 0.7500  4 Be 2.55, 4 Rh 2.55
Cu: 0.7500 0.7500 0.2500  4 Be 2.55, 4 Rh 2.55
Rh: 0.0000 0.0000 0.5000  4 Cu 2.55, 4 Rh 2.55
Rh: 0.0000 0.5000 0.0000  4 Cu 2.55, 4 Rh 2.55
Rh: 0.2500 0.2500 0.7500  4 Be 2.55, 4 Rh 2.55
Rh: 0.2500 0.7500 0.2500  4 Be 2.55, 4 Rh 2.55
Rh: 0.5000 0.0000 0.0000  4 Cu 2.55, 4 Rh 2.55
Rh: 0.5000 0.5000 0.5000  4 Cu 2.55, 4 Rh 2.55
Rh: 0.7500 0.2500 0.2500  4 Be 2.55, 4 Rh 2.55
Rh: 0.7500 0.7500 0.7500  4 Be 2.55, 4 Rh 2.55